# CsTlRuF6 (PBE, optimized geometry)
# Crystal system ... monoclinic
# Energy relative to the elements, uncorrected ... -2.08 eV per atom
data_CsTlRuF6
_chemical_formula_sum 'Cs2 Tl2 Ru2 F12'
_cell_length_a 6.563
_cell_length_b 11.417
_cell_length_c 5.567
_cell_angle_alpha 90.00
_cell_angle_beta 90.08
_cell_angle_gamma 90.00
_space_group_name_H-M_alt 'C 1 2 1'
_space_group_IT_number 5
loop_
_space_group_symop_operation_xyz
'x,y,z'
'-x,y,-z'
'x+1/2,y+1/2,z'
'-x+1/2,y+1/2,-z'
loop_
_atom_site_label
_atom_site_fract_x
_atom_site_fract_y
_atom_site_fract_z
Cs1 0.000 0.000 0.000
Tl1 0.000 0.334 0.500
Ru1 0.000 0.667 0.500
F1 0.122 0.544 0.300
F2 0.122 0.789 0.301
F3 0.248 0.667 0.697

# ReSb2Br (PBE, optimized geometry)
# Crystal system ... tetragonal
# Energy relative to the elements, uncorrected ... 1.21 eV per atom
data_ReSb2Br
_chemical_formula_sum 'Re1 Sb2 Br1'
_cell_length_a 4.240
_cell_length_b 4.240
_cell_length_c 5.148
_cell_angle_alpha 90.00
_cell_angle_beta 90.00
_cell_angle_gamma 90.00
_space_group_name_H-M_alt 'P 4/m m m'
_space_group_IT_number 123
_space_group_name_Hall '-P 4 2'
loop_
_atom_site_label
_atom_site_fract_x
_atom_site_fract_y
_atom_site_fract_z
Re1 0.000 0.000 0.000
Sb1 0.000 0.500 0.500
Br1 0.500 0.500 0.000

# LaNd2 (PBE, optimized geometry)
# Crystal system ... tetragonal
# Formation enthalpy at 0 K ... 101 meV/atom
data_LaNd2
_chemical_formula_sum 'La2 Nd4'
_cell_length_a 4.360
_cell_length_b 4.360
_cell_length_c 11.298
_cell_angle_alpha 90.00
_cell_angle_beta 90.00
_cell_angle_gamma 90.00
_space_group_name_H-M_alt 'I 4/m m m'
_space_group_IT_number 139
_space_group_name_Hall '-I 4 2'
loop_
_atom_site_label
_atom_site_fract_x
_atom_site_fract_y
_atom_site_fract_z
La1 0.000 0.000 0.000
Nd1 0.000 0.000 0.328

# ZnPdRh (PBE, optimized geometry)
# Crystal system ... monoclinic
# Formation enthalpy at 0 K ... -254 meV/atom
data_ZnPdRh
_chemical_formula_sum 'Zn4 Pd4 Rh4'
_cell_length_a 4.753
_cell_length_b 8.236
_cell_length_c 4.679
_cell_angle_alpha 90.00
_cell_angle_beta 108.98
_cell_angle_gamma 90.00
_space_group_name_H-M_alt 'C 1 2/m 1'
_space_group_IT_number 12
loop_
_space_group_symop_operation_xyz
'x,y,z'
'-x,-y,-z'
'-x,y,-z'
'x,-y,z'
'x+1/2,y+1/2,z'
'-x+1/2,-y+1/2,-z'
'-x+1/2,y+1/2,-z'
'x+1/2,-y+1/2,z'
loop_
_atom_site_label
_atom_site_fract_x
_atom_site_fract_y
_atom_site_fract_z
Zn1 0.000 0.169 0.000
Pd1 0.000 0.000 0.500
Pd2 0.000 0.500 0.000
Rh1 0.000 0.331 0.500

What did the fourth record say?
# ZnPdRh (PBE, optimized geometry)
# Crystal system ... monoclinic
# Formation enthalpy at 0 K ... -254 meV/atom
data_ZnPdRh
_chemical_formula_sum 'Zn4 Pd4 Rh4'
_cell_length_a 4.753
_cell_length_b 8.236
_cell_length_c 4.679
_cell_angle_alpha 90.00
_cell_angle_beta 108.98
_cell_angle_gamma 90.00
_space_group_name_H-M_alt 'C 1 2/m 1'
_space_group_IT_number 12
loop_
_space_group_symop_operation_xyz
'x,y,z'
'-x,-y,-z'
'-x,y,-z'
'x,-y,z'
'x+1/2,y+1/2,z'
'-x+1/2,-y+1/2,-z'
'-x+1/2,y+1/2,-z'
'x+1/2,-y+1/2,z'
loop_
_atom_site_label
_atom_site_fract_x
_atom_site_fract_y
_atom_site_fract_z
Zn1 0.000 0.169 0.000
Pd1 0.000 0.000 0.500
Pd2 0.000 0.500 0.000
Rh1 0.000 0.331 0.500